Material: Fe4OF7
Method: DFT, PBE with a Hubbard U
State: relaxed

Properties
energy above the lowest structure with this stoichiometry	0.002	eV per atom
symmetry	Cm, No. 8
size of the total moment	17.0	μB per formula unit

Cell: 5.8117 5.8117 10.6658 Å, 69.75 69.75 67.58°
Each line ends with the local moment (μB).
Element x y z (fractional)
Fe  0.9931  0.5111  0.0039  3.80
Fe  0.8667  0.8667  0.2373  4.41
Fe  0.6157  0.6157  0.7378  4.41
Fe  0.7459  0.2581  0.5053  3.83
Fe  0.1297  0.1297  0.7520  3.82
Fe  0.3772  0.3772  0.2490  3.82
Fe  0.5111  0.9931  0.0039  3.80
Fe  0.2581  0.7459  0.5053  3.83
F  0.0588  0.0588  0.5981  0.06
F  0.5336  0.9998  0.6561  0.09
F  0.6919  0.6919  0.8916  0.07
F  0.7857  0.2474  0.1576  0.09
F  0.7242  0.2436  0.8440  0.09
F  0.9701  0.5005  0.3458  0.09
F  0.9552  0.9552  0.4005  0.06
F  0.5005  0.9701  0.3458  0.09
F  0.2436  0.7242  0.8440  0.09
F  0.2474  0.7857  0.1576  0.09
F  0.4446  0.4446  0.4006  0.06
F  0.9998  0.5336  0.6561  0.09
F  0.3042  0.3042  0.1002  0.06
F  0.2046  0.2046  0.9052  0.05
O  0.5424  0.5424  0.6026  0.27
O  0.7961  0.7961  0.0999  0.27

---

Material: Fe6O7F5
Method: DFT, PBE with a Hubbard U
State: relaxed

Properties
energy above the lowest structure with this stoichiometry	0.181	eV per atom
symmetry	P1, No. 1
size of the total moment	23.0	μB per formula unit

Cell: 5.5492 5.5458 7.6021 Å, 70.48 70.35 69.85°
Each line ends with the local moment (μB).
Element x y z (fractional)
F  0.0428  0.6344  0.6692  0.01
F  0.8915  0.8873  0.3141  0.11
F  0.7639  0.7728  0.0461  0.04
F  0.4296  0.4374  0.3718  0.12
F  0.1273  0.1046  0.6895  0.06
O  0.2907  0.6977  0.0015  0.09
O  0.9702  0.3662  0.3256  -0.03
O  0.3597  0.9796  0.3283  -0.01
O  0.6571  0.0257  0.6698  -0.09
O  0.5725  0.5619  0.6241  0.06
O  0.6898  0.3071  0.9987  0.07
O  0.2224  0.2243  0.9624  -0.04
Fe  0.6567  0.6652  0.3453  4.29
Fe  0.9963  0.0102  0.0044  3.25
Fe  0.3628  0.3180  0.6803  3.11
Fe  0.6391  0.6647  0.8247  4.31
Fe  0.0069  0.0159  0.4974  3.20
Fe  0.3205  0.3271  0.1467  4.14

---

Material: Fe3O5F
Method: DFT, PBE with a Hubbard U
State: relaxed

Properties
energy above the lowest structure with this stoichiometry	0.079	eV per atom
symmetry	P1, No. 1
size of the total moment	11.1	μB per formula unit

Cell: 5.5005 5.4778 7.1332 Å, 72.08 72.28 72.24°
Each line ends with the local moment (μB).
Element x y z (fractional)
O  0.4314  0.4361  0.3750  -0.03
O  0.3236  0.6860  0.9953  0.01
O  0.8849  0.8870  0.2950  0.04
O  0.0258  0.6515  0.6690  -0.06
O  0.9565  0.3590  0.3361  0.02
O  0.3526  0.9676  0.3341  -0.01
O  0.6416  0.0319  0.6688  -0.14
O  0.7696  0.7655  0.0377  -0.12
O  0.2349  0.2299  0.9628  0.05
O  0.5714  0.5749  0.6279  -0.10
Fe  0.3407  0.3511  0.6715  4.15
Fe  0.6571  0.6658  0.3331  2.71
Fe  0.0208  0.9750  0.0073  4.25
Fe  0.3209  0.3351  0.1752  4.21
Fe  0.6721  0.6791  0.8300  2.82
Fe  0.9879  0.9946  0.4875  4.05
F  0.7073  0.3020  0.9932  0.06
F  0.1009  0.1078  0.7007  0.10

---

Material: FeOF
Method: DFT, PBE with a Hubbard U
State: relaxed

Properties
symmetry	Pm, No. 6
size of the total moment	3.5	μB per formula unit
E	-69.820	eV per cell

Cell: 3.0610 4.7996 9.4946 Å, 87.75 90.00 90.00°
Each line ends with the local moment (μB).
Element x y z (fractional)
O  0.5000  0.1863  0.0951  0.37
O  0.0000  0.3094  0.8317  0.36
O  0.0000  0.2929  0.3588  0.15
O  0.5000  0.8118  0.9072  0.36
F  0.5000  0.8241  0.4068  0.03
F  0.0000  0.6797  0.1687  0.12
F  0.0000  0.7193  0.6395  0.05
F  0.5000  0.1878  0.5874  0.02
Fe  0.5000  0.5245  0.7796  4.35
Fe  0.0000  0.0196  0.9882  4.42
Fe  0.5000  0.4286  0.2435  4.35
Fe  0.0000  0.0160  0.4935  -0.93

---

Material: FeOF
Method: DFT, PBE with a Hubbard U
State: relaxed

Properties
symmetry	P2_1/c, No. 14
size of the total moment	5.0	μB per formula unit
E	-72.152	eV per cell

Cell: 4.7832 5.6720 5.6997 Å, 65.56 90.00 90.00°
Each line ends with the local moment (μB).
Element x y z (fractional)
O  0.6931  0.4003  0.9102  0.38
O  0.1931  0.5997  0.5898  0.38
O  0.3069  0.5997  0.0898  0.38
O  0.8069  0.4003  0.4102  0.38
Fe  0.9786  0.2798  0.7484  4.40
Fe  0.0214  0.7202  0.2516  4.40
Fe  0.5214  0.2798  0.2484  4.40
Fe  0.4786  0.7202  0.7516  4.40
F  0.3111  0.0931  0.6015  0.10
F  0.6889  0.9069  0.3985  0.10
F  0.1889  0.0931  0.1015  0.10
F  0.8111  0.9069  0.8985  0.10

---

Material: Fe3O5F
Method: DFT, PBE with a Hubbard U
State: relaxed

Properties
energy above the lowest structure with this stoichiometry	0.060	eV per atom
symmetry	Pmn2_1, No. 31
size of the total moment	1.1	μB per formula unit

Cell: 2.9850 4.6064 13.8401 Å, 90.00 90.00 90.00°
Each line ends with the local moment (μB).
Element x y z (fractional)
F  0.0000  0.4264  0.2295  -0.07
F  0.5000  0.5736  0.7295  -0.07
Fe  0.5000  0.2783  0.5012  2.37
Fe  0.0000  0.7961  0.6589  -4.33
Fe  0.5000  0.2039  0.1589  -4.33
Fe  0.5000  0.2248  0.8419  4.11
Fe  0.0000  0.7217  0.0012  2.37
Fe  0.0000  0.7752  0.3419  4.11
O  0.5000  0.9917  0.5958  -0.30
O  0.0000  0.0680  0.7706  -0.03
O  0.0000  0.0083  0.0958  -0.30
O  0.0000  0.4701  0.5619  -0.32
O  0.5000  0.9048  0.9373  -0.12
O  0.5000  0.5664  0.4029  -0.07
O  0.0000  0.4336  0.9029  -0.07
O  0.0000  0.0952  0.4373  -0.12
O  0.5000  0.9320  0.2706  -0.03
O  0.5000  0.5299  0.0619  -0.32

---

Material: Fe10O9F11
Method: DFT, PBE with a Hubbard U
State: relaxed

Properties
energy above the lowest structure with this stoichiometry	0.099	eV per atom
symmetry	Pm, No. 6
size of the total moment	17.0	μB per formula unit

Cell: 15.4399 4.7327 4.7305 Å, 84.71 90.00 90.00°
Each line ends with the local moment (μB).
Element x y z (fractional)
Fe  0.2976  0.9937  0.0030  -4.34
Fe  0.4005  0.4935  0.5054  4.35
Fe  0.7024  0.9937  0.0030  -4.34
Fe  0.5995  0.4935  0.5054  4.35
Fe  0.0000  0.4628  0.4896  3.82
Fe  0.7918  0.4976  0.5081  -1.01
Fe  0.9038  0.0402  0.9865  4.36
Fe  0.2082  0.4976  0.5081  -1.01
Fe  0.5000  0.9943  0.0066  4.41
Fe  0.0962  0.0402  0.9865  4.36
O  0.5000  0.6945  0.3046  0.32
O  0.6980  0.2974  0.7058  0.01
O  0.6989  0.6920  0.3095  -0.01
O  0.3020  0.2974  0.7058  0.01
O  0.3011  0.6920  0.3095  -0.01
O  0.5000  0.2930  0.7074  0.32
O  0.8862  0.3161  0.6839  0.16
O  0.1138  0.3161  0.6839  0.16
O  0.0000  0.1902  0.1769  0.32
F  0.3986  0.8020  0.8143  0.03
F  0.1122  0.7085  0.2877  0.06
F  0.6014  0.8020  0.8143  0.03
F  0.8878  0.7085  0.2877  0.06
F  0.2006  0.8070  0.8090  -0.01
F  0.7981  0.1926  0.1972  0.01
F  0.6015  0.1847  0.1987  0.04
F  0.2019  0.1926  0.1972  0.01
F  0.7994  0.8070  0.8090  -0.01
F  0.3985  0.1847  0.1987  0.04
F  0.0000  0.8145  0.7968  0.11

---

Material: Fe6O7F5
Method: DFT, PBE with a Hubbard U
State: relaxed

Properties
energy above the lowest structure with this stoichiometry	0.074	eV per atom
symmetry	Amm2, No. 38
size of the total moment	17.0	μB per formula unit

Cell: 4.7403 4.7403 9.1171 Å, 90.00 90.00 96.24°
Each line ends with the local moment (μB).
Element x y z (fractional)
Fe  0.5190  0.4810  0.5000  3.16
Fe  0.0021  0.9979  0.0000  -4.33
Fe  0.4969  0.5031  0.8340  4.27
Fe  0.9891  0.0109  0.3428  4.28
Fe  0.4969  0.5031  0.1660  4.27
Fe  0.9891  0.0109  0.6572  4.28
F  0.1930  0.8070  0.5000  0.14
F  0.8072  0.1928  0.1653  0.03
F  0.1902  0.8098  0.1682  0.01
F  0.8072  0.1928  0.8347  0.03
F  0.1902  0.8098  0.8318  0.01
O  0.6970  0.7009  0.0000  0.05
O  0.3074  0.3027  0.6682  0.06
O  0.6973  0.6926  0.6682  0.06
O  0.8135  0.1865  0.5000  0.22
O  0.2991  0.3030  0.0000  0.05
O  0.3074  0.3027  0.3318  0.06
O  0.6973  0.6926  0.3318  0.06

---

> Which of these has the lowest size of the total moment?

number 6

---

> Which value of size of the total moment does entry 4 give?

3.5 μB per formula unit

---

> Number 3 is which compound?

Fe3O5F